LiHgW2I (PBEsol, relaxed); M_tot = 4.6 μB per formula unit; electronic total energy = -4.305 eV per atom; ΔE_f (raw) = 2.078 eV/atom
1.0
5.0986 0.0000 0.0000
0.0000 5.0986 0.0000
0.0000 0.0000 4.5711
Li Hg W I
1 1 2 1
Cartesian
0.0000 0.0000 0.0000
0.0000 0.0000 2.2855
0.0000 2.5493 2.2855
2.5493 0.0000 2.2855
2.5493 2.5493 0.0000



Cr2CoSb (PBEsol, relaxed); M_tot = 1.1 μB per formula unit; electronic total energy = -7.861 eV per atom; ΔE_f (raw) = 0.334 eV/atom
1.0
2.9299 0.0000 0.0000
0.0000 4.1578 0.0000
0.0000 0.0000 4.4419
Cr Co Sb
2 1 1
Cartesian
0.0000 0.0000 0.0000
0.0000 2.0789 1.1883
1.4649 0.0000 1.9960
1.4649 2.0789 3.4345



Tb3GaC (PBEsol, relaxed); formation enthalpy at 0 K = -0.438 eV per atom; M_tot = 0.0 μB per formula unit; electronic total energy = -6.041 eV per atom
1.0
4.8216 0.0000 0.0000
0.0000 4.8216 0.0000
0.0000 0.0000 4.8216
Tb Ga C
3 1 1
Cartesian
0.0000 0.0000 2.4108
0.0000 2.4108 0.0000
2.4108 0.0000 0.0000
2.4108 2.4108 2.4108
0.0000 0.0000 0.0000



ZrBeCo (PBEsol, relaxed); formation enthalpy at 0 K = 0.201 eV per atom; M_tot = 0.6 μB per formula unit; electronic total energy = -6.741 eV per atom
1.0
0.0000 2.7683 2.7683
2.7683 0.0000 2.7683
2.7683 2.7683 0.0000
Zr Be Co
1 1 1
Cartesian
0.0000 0.0000 0.0000
4.1524 4.1524 4.1524
2.7683 2.7683 2.7683



Sc2BeCu (PBEsol, relaxed); formation enthalpy at 0 K = -0.142 eV per atom; M_tot = 0.0 μB per formula unit; electronic total energy = -5.528 eV per atom
1.0
4.4960 0.0000 0.0000
0.0000 4.4960 0.0000
0.0000 0.0000 3.1873
Sc Be Cu
2 1 1
Cartesian
0.0000 2.2480 0.0000
2.2480 0.0000 0.0000
0.0000 0.0000 1.5937
2.2480 2.2480 1.5937



Zn2TeOs (PBEsol, relaxed); M_tot = 0.0 μB per formula unit; electronic total energy = -4.173 eV per atom; ΔE_f (raw) = 0.554 eV/atom
1.0
3.9600 0.0000 0.0000
0.0000 3.9600 0.0000
0.0000 0.0000 4.1256
Zn Te Os
2 1 1
Cartesian
0.0000 1.9800 0.0000
1.9800 0.0000 0.0000
0.0000 0.0000 2.0628
1.9800 1.9800 2.0628



Ca3WO (PBEsol, relaxed); M_tot = 3.5 μB per formula unit; electronic total energy = -5.425 eV per atom; ΔE_f (raw) = -0.334 eV/atom
1.0
4.7533 0.0000 0.0000
0.0000 4.7533 0.0000
0.0000 0.0000 4.7533
Ca W O
3 1 1
Cartesian
0.0000 0.0000 2.3767
0.0000 2.3767 0.0000
2.3767 0.0000 0.0000
2.3767 2.3767 2.3767
0.0000 0.0000 0.0000



Ta3FeS (PBEsol, relaxed); M_tot = 0.0 μB per formula unit; electronic total energy = -9.302 eV per atom; ΔE_f (raw) = 0.898 eV/atom
1.0
4.5324 0.0000 0.0000
0.0000 4.5324 0.0000
0.0000 0.0000 4.5324
Ta Fe S
3 1 1
Cartesian
0.0000 0.0000 2.2662
0.0000 2.2662 0.0000
2.2662 0.0000 0.0000
0.0000 0.0000 0.0000
2.2662 2.2662 2.2662



CuRe2Te (PBEsol, relaxed); M_tot = 0.0 μB per formula unit; electronic total energy = -7.755 eV per atom; ΔE_f (raw) = 0.876 eV/atom
1.0
1.4925 0.8617 8.1272
-1.4925 0.8617 8.1272
0.0000 -1.7234 8.1272
Cu Re Te
1 2 1
Cartesian
0.0000 0.0000 0.0000
0.0000 0.0000 6.1586
0.0000 0.0000 18.2230
0.0000 0.0000 12.1908



TeBr (PBEsol, relaxed); M_tot = 0.0 μB per formula unit; electronic total energy = -2.622 eV per atom; ΔE_f (raw) = 0.076 eV/atom
1.0
0.0000 3.6990 3.6990
3.6990 0.0000 3.6990
3.6990 3.6990 0.0000
Te Br
2 2
Cartesian
0.9247 0.9247 0.9247
6.4732 6.4732 6.4732
2.7742 2.7742 2.7742
4.6237 4.6237 4.6237



BeCdMo2 (PBEsol, relaxed); formation enthalpy at 0 K = 0.745 eV per atom; M_tot = 0.0 μB per formula unit; electronic total energy = -6.438 eV per atom
1.0
0.0000 3.0858 3.0858
3.0858 0.0000 3.0858
3.0858 3.0858 0.0000
Be Cd Mo
1 1 2
Cartesian
0.0000 0.0000 0.0000
3.0858 3.0858 3.0858
1.5429 1.5429 1.5429
4.6286 4.6286 4.6286



KSr2Sb (PBEsol, relaxed); M_tot = 0.0 μB per formula unit; electronic total energy = -2.467 eV per atom; ΔE_f (raw) = -0.124 eV/atom
1.0
3.8016 -5.6975 0.0000
3.8016 5.6975 0.0000
-1.5493 0.0000 3.6107
K Sr Sb
1 2 1
Cartesian
0.0000 0.0000 0.0000
1.1262 2.8488 1.8054
1.1262 -2.8488 1.8054
3.8016 0.0000 0.0000



LiAs2SeI (PBEsol, relaxed); M_tot = 0.0 μB per formula unit; electronic total energy = -3.087 eV per atom; ΔE_f (raw) = 0.473 eV/atom
1.0
4.8534 0.0000 0.0000
0.0000 4.8534 0.0000
0.0000 0.0000 4.4478
Li As Se I
1 2 1 1
Cartesian
0.0000 0.0000 0.0000
0.0000 2.4267 0.0000
2.4267 0.0000 0.0000
0.0000 0.0000 2.2239
2.4267 2.4267 2.2239



Y2TlAgB (PBEsol, relaxed); formation enthalpy at 0 K = 0.001 eV per atom; M_tot = 0.0 μB per formula unit; electronic total energy = -5.320 eV per atom
1.0
5.0102 0.0000 0.0000
0.0000 5.0102 0.0000
0.0000 0.0000 4.3942
Y Tl Ag B
2 1 1 1
Cartesian
0.0000 2.5051 0.0000
2.5051 0.0000 0.0000
0.0000 0.0000 2.1971
2.5051 2.5051 2.1971
0.0000 0.0000 0.0000



TlIr2Au (PBEsol, relaxed); formation enthalpy at 0 K = 0.451 eV per atom; M_tot = 0.0 μB per formula unit; electronic total energy = -6.099 eV per atom
1.0
1.4386 0.8306 9.4645
-1.4386 0.8306 9.4645
0.0000 -1.6612 9.4645
Tl Ir Au
1 2 1
Cartesian
0.0000 0.0000 0.0000
0.0000 0.0000 6.9798
0.0000 0.0000 14.4242
0.0000 0.0000 21.5888



BiPd2Pb (PBEsol, relaxed); formation enthalpy at 0 K = -0.299 eV per atom; M_tot = 0.0 μB per formula unit; electronic total energy = -5.350 eV per atom
1.0
4.3344 -3.5858 0.0000
4.3344 3.5858 0.0000
0.0000 0.0000 10.5346
Bi Pd Pb
4 8 4
Cartesian
1.9485 0.8821 0.0000
1.9485 -0.8821 5.2673
6.7204 0.8821 0.0000
6.7204 -0.8821 5.2673
2.1314 0.8863 2.9189
4.3344 2.3537 9.9939
2.1314 -0.8863 8.1862
4.3344 0.5936 4.6852
4.3344 -0.5936 9.9524
6.5375 0.8863 2.9189
4.3344 -2.3537 4.7266
6.5375 -0.8863 8.1862
4.3344 2.6343 2.3185
4.3344 0.8615 7.5118
4.3344 -0.8615 2.2445
4.3344 -2.6343 7.5858



Y2SeBr (PBEsol, relaxed); M_tot = 0.0 μB per formula unit; electronic total energy = -6.248 eV per atom; ΔE_f (raw) = -1.407 eV/atom
1.0
2.0610 1.1899 6.5417
-2.0610 1.1899 6.5417
0.0000 -2.3798 6.5417
Y Se Br
2 1 1
Cartesian
0.0000 0.0000 4.6520
0.0000 0.0000 14.9731
0.0000 0.0000 9.8125
0.0000 0.0000 0.0000



KZrFe (PBEsol, relaxed); formation enthalpy at 0 K = 1.457 eV per atom; M_tot = 0.7 μB per formula unit; electronic total energy = -4.939 eV per atom
1.0
0.0000 3.2558 3.2558
3.2558 0.0000 3.2558
3.2558 3.2558 0.0000
K Zr Fe
1 1 1
Cartesian
0.0000 0.0000 0.0000
3.2558 3.2558 3.2558
1.6279 1.6279 1.6279



CaMgAu2 (PBEsol, relaxed); formation enthalpy at 0 K = -0.463 eV per atom; M_tot = 0.0 μB per formula unit; electronic total energy = -3.387 eV per atom
1.0
0.0000 3.4040 3.4040
3.4040 0.0000 3.4040
3.4040 3.4040 0.0000
Ca Mg Au
1 1 2
Cartesian
0.0000 0.0000 0.0000
1.7020 1.7020 1.7020
3.4040 3.4040 3.4040
5.1060 5.1060 5.1060



ZrBe2Ir2 (PBEsol, relaxed); formation enthalpy at 0 K = -0.636 eV per atom; M_tot = 0.0 μB per formula unit; electronic total energy = -7.983 eV per atom
1.0
-2.0033 2.0033 4.1863
2.0033 -2.0033 4.1863
2.0033 2.0033 -4.1863
Zr Be Ir
1 2 2
Cartesian
0.0000 0.0000 0.0000
0.0000 0.0000 3.0971
0.0000 0.0000 5.2755
2.0033 0.0000 2.0932
0.0000 2.0033 2.0932